w.
CdRe | GGA-PBE | optimized geometry

Lattice parameters (Å, degrees): 5.527 5.527 5.527 146.56 127.56 63.64
Sites, in units of the cell vectors:
1 Cd 0.364 0.114 0.250
2 Cd 0.636 0.886 0.750
3 Re 0.098 0.348 0.750
4 Re 0.902 0.652 0.250

Properties
M_tot (μB per cell): 0.00
Density (g/cm3): 13.6
D(E_F) (states/eV per cell): 2.67

x.
CdRe | GGA-PBE | optimized geometry

Lattice parameters (Å, degrees): 2.836 2.836 4.919 90.00 90.00 120.00
Sites, in units of the cell vectors:
1 Cd 0.000 0.000 0.000
2 Re 0.333 0.667 0.500

Properties
M_tot (μB per cell): 0.00
Density (g/cm3): 14.5
D(E_F) (states/eV per cell): 1.69

y.
CdRe | GGA-PBE | optimized geometry

Lattice parameters (Å, degrees): 4.616 5.068 5.068 118.07 90.00 90.00
Sites, in units of the cell vectors:
1 Cd 0.000 0.000 0.000
2 Cd 0.500 0.008 0.662
3 Cd 0.500 0.662 0.008
4 Re 0.000 0.342 0.635
5 Re 0.000 0.635 0.342
6 Re 0.500 0.363 0.363

Properties
M_tot (μB per cell): 0.00
Density (g/cm3): 14.2
D(E_F) (states/eV per cell): 3.68

Most stable structure: y

w.
CdRe | GGA-PBE | optimized geometry

Lattice parameters (Å, degrees): 8.224 8.224 3.984 90.00 90.00 120.00
Sites, in units of the cell vectors:
1 Cd 0.162 0.325 0.250
2 Cd 0.162 0.838 0.250
3 Cd 0.325 0.162 0.750
4 Cd 0.675 0.838 0.250
5 Cd 0.838 0.162 0.750
6 Cd 0.838 0.675 0.750
7 Re 0.119 0.559 0.750
8 Re 0.441 0.559 0.750
9 Re 0.441 0.881 0.750
10 Re 0.559 0.119 0.250
11 Re 0.559 0.441 0.250
12 Re 0.881 0.441 0.250

Properties
M_tot (μB per cell): 0.00
Density (g/cm3): 12.8
D(E_F) (states/eV per cell): 9.09

x.
CdRe | GGA-PBE | optimized geometry

Lattice parameters (Å, degrees): 4.573 4.573 4.793 90.00 90.00 120.00
Sites, in units of the cell vectors:
1 Cd 0.333 0.667 0.250
2 Cd 0.667 0.333 0.750
3 Re 0.000 0.000 0.000
4 Re 0.000 0.000 0.500

Properties
M_tot (μB per cell): 0.00
Density (g/cm3): 11.4
D(E_F) (states/eV per cell): 5.34

y.
CdRe | GGA-PBE | optimized geometry

Lattice parameters (Å, degrees): 2.990 2.990 8.131 90.00 90.00 90.00
Sites, in units of the cell vectors:
1 Cd 0.250 0.250 0.146
2 Cd 0.750 0.750 0.854
3 Re 0.250 0.250 0.589
4 Re 0.750 0.750 0.411

Properties
M_tot (μB per cell): 0.00
Density (g/cm3): 13.6
D(E_F) (states/eV per cell): 1.63

Most stable structure: y

w.
CdRe | GGA-PBE | optimized geometry

Lattice parameters (Å, degrees): 10.153 10.153 2.853 90.00 90.00 90.00
Sites, in units of the cell vectors:
1 Cd 0.036 0.805 0.000
2 Cd 0.195 0.036 0.000
3 Cd 0.203 0.307 0.500
4 Cd 0.307 0.797 0.500
5 Cd 0.693 0.203 0.500
6 Cd 0.797 0.693 0.500
7 Cd 0.805 0.964 0.000
8 Cd 0.964 0.195 0.000
9 Re 0.095 0.570 0.500
10 Re 0.329 0.530 0.000
11 Re 0.430 0.095 0.500
12 Re 0.470 0.329 0.000
13 Re 0.530 0.671 0.000
14 Re 0.570 0.905 0.500
15 Re 0.671 0.470 0.000
16 Re 0.905 0.430 0.500

Properties
M_tot (μB per cell): 0.00
Density (g/cm3): 13.5
D(E_F) (states/eV per cell): 9.70

x.
CdRe | GGA-PBE | optimized geometry

Lattice parameters (Å, degrees): 7.646 7.646 7.646 90.00 90.00 90.00
Sites, in units of the cell vectors:
1 Cd 0.000 0.250 0.500
2 Cd 0.000 0.750 0.500
3 Cd 0.250 0.500 0.000
4 Cd 0.500 0.000 0.250
5 Cd 0.500 0.000 0.750
6 Cd 0.750 0.500 0.000
7 Re 0.000 0.500 0.250
8 Re 0.000 0.500 0.750
9 Re 0.250 0.000 0.500
10 Re 0.500 0.250 0.000
11 Re 0.500 0.750 0.000
12 Re 0.750 0.000 0.500

Properties
M_tot (μB per cell): 18.48
Density (g/cm3): 6.7
D(E_F) (states/eV per cell): 11.50

y.
CdRe | GGA-PBE | optimized geometry

Lattice parameters (Å, degrees): 5.047 5.047 8.338 112.93 112.93 33.28
Sites, in units of the cell vectors:
1 Cd 0.000 0.000 0.000
2 Cd 0.327 0.327 0.182
3 Cd 0.673 0.673 0.818
4 Re 0.000 0.000 0.500
5 Re 0.337 0.337 0.630
6 Re 0.663 0.663 0.370

Properties
M_tot (μB per cell): 0.00
Density (g/cm3): 14.0
D(E_F) (states/eV per cell): 3.30

Most stable structure: y

w.
CdRe | GGA-PBE | optimized geometry

Lattice parameters (Å, degrees): 3.846 3.846 3.846 60.00 60.00 60.00
Sites, in units of the cell vectors:
1 Cd 0.000 0.000 0.000
2 Re 0.500 0.500 0.500

Properties
M_tot (μB per cell): 1.23
Density (g/cm3): 12.3
D(E_F) (states/eV per cell): 2.87

x.
CdRe | GGA-PBE | optimized geometry

Lattice parameters (Å, degrees): 5.200 5.200 5.200 90.00 90.00 90.00
Sites, in units of the cell vectors:
1 Cd 0.098 0.402 0.598
2 Cd 0.402 0.598 0.098
3 Cd 0.598 0.098 0.402
4 Cd 0.902 0.902 0.902
5 Re 0.105 0.895 0.395
6 Re 0.395 0.105 0.895
7 Re 0.605 0.605 0.605
8 Re 0.895 0.395 0.105

Properties
M_tot (μB per cell): 0.00
Density (g/cm3): 14.1
D(E_F) (states/eV per cell): 6.45

Most stable structure: x

w.
CdRe | GGA-PBE | optimized geometry

Lattice parameters (Å, degrees): 7.354 7.354 7.354 109.47 109.47 109.47
Sites, in units of the cell vectors:
1 Cd 0.000 0.000 0.578
2 Cd 0.000 0.578 0.000
3 Cd 0.422 0.422 0.422
4 Cd 0.578 0.000 0.000
5 Re 0.000 0.000 0.203
6 Re 0.000 0.203 0.000
7 Re 0.203 0.000 0.000
8 Re 0.797 0.797 0.797

Properties
M_tot (μB per cell): 0.00
Density (g/cm3): 6.5
D(E_F) (states/eV per cell): 6.86

x.
CdRe | GGA-PBE | optimized geometry

Lattice parameters (Å, degrees): 8.536 7.924 4.725 80.58 66.32 33.10
Sites, in units of the cell vectors:
1 Cd 0.040 0.710 0.040
2 Cd 0.290 0.960 0.290
3 Cd 0.710 0.040 0.710
4 Cd 0.960 0.290 0.960
5 Re 0.292 0.292 0.458
6 Re 0.458 0.458 0.292
7 Re 0.542 0.542 0.708
8 Re 0.708 0.708 0.542

Properties
M_tot (μB per cell): 0.00
Density (g/cm3): 13.2
D(E_F) (states/eV per cell): 7.35

Most stable structure: x

w.
CdRe | GGA-PBE | optimized geometry

Lattice parameters (Å, degrees): 3.240 3.240 3.240 90.00 90.00 90.00
Sites, in units of the cell vectors:
1 Cd 0.000 0.000 0.000
2 Re 0.500 0.500 0.500

Properties
M_tot (μB per cell): 0.00
Density (g/cm3): 14.6
D(E_F) (states/eV per cell): 1.31

x.
CdRe | GGA-PBE | optimized geometry

Lattice parameters (Å, degrees): 2.801 2.801 10.562 90.00 90.00 120.00
Sites, in units of the cell vectors:
1 Cd 0.333 0.667 0.000
2 Cd 0.667 0.333 0.500
3 Re 0.333 0.667 0.264
4 Re 0.667 0.333 0.764

Properties
M_tot (μB per cell): 0.00
Density (g/cm3): 13.8
D(E_F) (states/eV per cell): 3.79

y.
CdRe | GGA-PBE | optimized geometry

Lattice parameters (Å, degrees): 8.559 8.559 2.985 90.00 90.00 159.84
Sites, in units of the cell vectors:
1 Cd 0.079 0.921 0.750
2 Cd 0.921 0.079 0.250
3 Re 0.293 0.707 0.750
4 Re 0.707 0.293 0.250

Properties
M_tot (μB per cell): 0.00
Density (g/cm3): 13.2
D(E_F) (states/eV per cell): 2.14

z.
CdRe | GGA-PBE | optimized geometry

Lattice parameters (Å, degrees): 2.879 2.879 9.759 90.00 90.00 120.00
Sites, in units of the cell vectors:
1 Cd 0.333 0.667 0.360
2 Cd 0.667 0.333 0.640
3 Re 0.333 0.667 0.896
4 Re 0.667 0.333 0.104

Properties
M_tot (μB per cell): 0.00
Density (g/cm3): 14.2
D(E_F) (states/eV per cell): 2.25

Most stable structure: z

w.
CdRe | GGA-PBE | optimized geometry

Lattice parameters (Å, degrees): 4.584 4.584 4.584 119.70 119.70 90.52
Sites, in units of the cell vectors:
1 Cd 0.375 0.625 0.750
2 Cd 0.625 0.375 0.250
3 Re 0.125 0.875 0.250
4 Re 0.875 0.125 0.750

Properties
M_tot (μB per cell): 0.00
Density (g/cm3): 14.5
D(E_F) (states/eV per cell): 1.85

x.
CdRe | GGA-PBE | optimized geometry

Lattice parameters (Å, degrees): 4.537 2.861 5.417 90.00 90.00 90.00
Sites, in units of the cell vectors:
1 Cd 0.250 0.000 0.141
2 Cd 0.750 0.000 0.859
3 Re 0.250 0.500 0.611
4 Re 0.750 0.500 0.389

Properties
M_tot (μB per cell): 0.00
Density (g/cm3): 14.1
D(E_F) (states/eV per cell): 1.92

Most stable structure: x

w.
CdRe | GGA-PBE | optimized geometry

Lattice parameters (Å, degrees): 4.138 4.138 5.467 90.00 90.00 120.00
Sites, in units of the cell vectors:
1 Cd 0.000 0.000 0.000
2 Cd 0.000 0.000 0.500
3 Re 0.333 0.667 0.250
4 Re 0.667 0.333 0.750

Properties
M_tot (μB per cell): 2.49
Density (g/cm3): 12.2
D(E_F) (states/eV per cell): 4.66

x.
CdRe | GGA-PBE | optimized geometry

Lattice parameters (Å, degrees): 5.507 5.507 5.525 90.00 90.00 90.00
Sites, in units of the cell vectors:
1 Cd 0.176 0.176 0.000
2 Cd 0.324 0.676 0.500
3 Cd 0.676 0.324 0.500
4 Cd 0.824 0.824 0.000
5 Re 0.148 0.148 0.500
6 Re 0.352 0.648 0.000
7 Re 0.648 0.352 0.000
8 Re 0.852 0.852 0.500

Properties
M_tot (μB per cell): 1.29
Density (g/cm3): 11.8
D(E_F) (states/eV per cell): 9.91

Most stable structure: x